No. 1
# LiTmScAg

Crystalline LiTmScAg at its relaxed geometry (PBE-GGA, Alexandria via LeMat-Bulk).

The structure belongs to space group F-43m (No. 216); the cell edges are 7.0343, 7.0343 and 7.0343 Å and the angles 90.00°, 90.00° and 90.00°. The inequivalent atoms are Li at (0.0000, 0.0000, 0.0000), Tm at (0.2500, 0.2500, 0.2500), Sc at (0.2500, 0.2500, 0.7500) and Ag at (0.0000, 0.0000, 0.5000).

The calculation puts the calculated formation energy at -32 kJ/mol of formula units.



No. 2
# TaTc

Crystalline TaTc at its relaxed geometry (PBE-GGA, Alexandria via LeMat-Bulk).

The structure belongs to space group Cmcm (No. 63); the cell edges are 2.6808, 10.6162 and 4.6853 Å and the angles 90.00°, 90.00° and 90.00°. The inequivalent atoms are Ta at (0.0000, 0.0780, 0.2500) and Tc at (0.0000, 0.3284, 0.2500).

The calculation puts the calculated formation energy at 33 kJ/mol of formula units.



No. 3
# Nd2GdSc

Crystalline Nd2GdSc at its relaxed geometry (PBE-GGA, Alexandria via LeMat-Bulk).

The structure belongs to space group Fm-3m (No. 225); the cell edges are 7.9791, 7.9791 and 7.9791 Å and the angles 90.00°, 90.00° and 90.00°. The inequivalent atoms are Nd at (0.2500, 0.2500, 0.2500), Gd at (0.0000, 0.0000, 0.0000) and Sc at (0.0000, 0.0000, 0.5000).

The calculation puts the calculated formation energy at 42 kJ/mol of formula units. The distance to the lowest polymorph of the same formula is 0.0719 eV/atom.



No. 4
# K2AgIr

Crystalline K2AgIr at its relaxed geometry (PBE-GGA, Alexandria via LeMat-Bulk).

The structure belongs to space group P4/mmm (No. 123); the cell edges are 2.9793, 2.9793 and 10.6830 Å and the angles 90.00°, 90.00° and 90.00°. The inequivalent atoms are K at (0.0000, 0.0000, 0.2305), Ag at (0.5000, 0.5000, 0.5000) and Ir at (0.5000, 0.5000, 0.0000).

The calculation puts the calculated formation energy at 258 kJ/mol of formula units. The distance to the lowest polymorph of the same formula is 0.1458 eV/atom.



No. 5
# Si2HgRh

Crystalline Si2HgRh at its relaxed geometry (PBE-GGA, Alexandria via LeMat-Bulk).

The structure belongs to space group I-4m2 (No. 119); the cell edges are 3.9861, 3.9861 and 8.1152 Å and the angles 90.00°, 90.00° and 90.00°. The inequivalent atoms are Si at (0.0000, 0.0000, 0.0000), Si at (0.0000, 0.5000, 0.2500), Hg at (0.0000, 0.5000, 0.7500) and Rh at (0.0000, 0.0000, 0.5000).

The value obtained for the uncorrected formation energy is 322 meV/atom.



No. 6
# LiTb2Pb5

Crystalline LiTb2Pb5 at its relaxed geometry (PBE-GGA, Alexandria via LeMat-Bulk).

The structure belongs to space group Pbam (No. 55); the cell edges are 6.8153, 13.3056 and 4.8244 Å and the angles 90.00°, 90.00° and 90.00°. The inequivalent atoms are Li at (0.0000, 0.0000, 0.0000), Tb at (0.2036, 0.3624, 0.5000), Pb at (0.0000, 0.5000, 0.0000), Pb at (0.0383, 0.7594, 0.0000) and Pb at (0.2037, 0.1085, 0.5000).

The calculation puts the calculated formation energy at -278 kJ/mol of formula units.



No. 7
# AcPmYZn

Crystalline AcPmYZn at its relaxed geometry (PBE-GGA, Alexandria via LeMat-Bulk).

The structure belongs to space group F-43m (No. 216); the cell edges are 7.8944, 7.8944 and 7.8944 Å and the angles 90.00°, 90.00° and 90.00°. The inequivalent atoms are Ac at (0.0000, 0.0000, 0.0000), Pm at (0.2500, 0.2500, 0.2500), Y at (0.2500, 0.2500, 0.7500) and Zn at (0.0000, 0.0000, 0.5000).

The calculation puts the calculated formation energy at 63 kJ/mol of formula units. The distance to the lowest polymorph of the same formula is 0.2941 eV/atom.



No. 8
# Sc4Al16Ni3

Crystalline Sc4Al16Ni3 at its relaxed geometry (PBE-GGA, Alexandria via LeMat-Bulk).

The structure belongs to space group P4/mmm (No. 123); the cell edges are 5.9347, 5.9347 and 10.8093 Å and the angles 90.00°, 90.00° and 90.00°. The inequivalent atoms are Sc at (0.0000, 0.5000, 0.1896), Al at (0.0000, 0.0000, 0.1960), Al at (0.2227, 0.2227, 0.0000), Al at (0.2459, 0.2459, 0.3772), Al at (0.5000, 0.5000, 0.2171), Ni at (0.0000, 0.5000, 0.5000) and Ni at (0.5000, 0.5000, 0.0000).

The calculation puts the calculated formation energy at -1058 kJ/mol of formula units.



No. 9
# CoNiC

Crystalline CoNiC at its relaxed geometry (PBE-GGA, Alexandria via LeMat-Bulk).

The structure belongs to space group F-43m (No. 216); the cell edges are 4.7601, 4.7601 and 4.7601 Å and the angles 90.00°, 90.00° and 90.00°. The inequivalent atoms are Co at (0.0000, 0.0000, 0.0000), Ni at (0.0000, 0.0000, 0.5000) and C at (0.2500, 0.2500, 0.7500).

The calculation puts the calculated formation energy at 81 kJ/mol of formula units. The distance to the lowest polymorph of the same formula is 0.0481 eV/atom.



No. 10
# SrCd2W

Crystalline SrCd2W at its relaxed geometry (PBE-GGA, Alexandria via LeMat-Bulk).

The structure belongs to space group Fm-3m (No. 225); the cell edges are 7.2890, 7.2890 and 7.2890 Å and the angles 90.00°, 90.00° and 90.00°. The inequivalent atoms are Sr at (0.0000, 0.0000, 0.0000), Cd at (0.2500, 0.2500, 0.2500) and W at (0.0000, 0.0000, 0.5000).

The calculation puts the calculated formation energy at 286 kJ/mol of formula units. The distance to the lowest polymorph of the same formula is 0.1865 eV/atom.



No. 11
# Mg14CdFe

Crystalline Mg14CdFe at its relaxed geometry (PBE-GGA, Alexandria via LeMat-Bulk).

The structure belongs to space group P-6m2 (No. 187); the cell edges are 6.2355, 6.2355 and 10.1779 Å and the angles 90.00°, 90.00° and 120.00°. The inequivalent atoms are Mg at (0.0000, 0.0000, 0.2491), Mg at (0.0093, 0.5046, 0.2602), Mg at (0.3302, 0.1651, 0.5000), Mg at (0.3352, 0.1676, 0.0000), Cd at (0.3333, 0.6667, 0.0000) and Fe at (0.3333, 0.6667, 0.5000).

The calculation puts the calculated formation energy at 72 kJ/mol of formula units. The distance to the lowest polymorph of the same formula is 0.0000 eV/atom.



No. 12
# K3CeTa2O9

Crystalline K3CeTa2O9 at its relaxed geometry (PBE-GGA, Alexandria via LeMat-Bulk).

The structure belongs to space group P-3m1 (No. 164); the cell edges are 5.9052, 5.9052 and 7.2857 Å and the angles 90.00°, 90.00° and 120.00°. The inequivalent atoms are K at (0.0000, 0.0000, 0.0000), K at (0.3333, 0.6667, 0.6688), Ce at (0.0000, 0.0000, 0.5000), Ta at (0.3333, 0.6667, 0.1588), O at (0.0000, 0.5000, 0.0000) and O at (0.1762, 0.3524, 0.3153).

The value obtained for the uncorrected formation energy is -2574 meV/atom.



Short version: M_tot = 0.00; 0.00; 1.90; 0.01; 0.00; 0.00; 0.00; 0.00; 0.00; 0.59; 0.14; 0.05 μB/atom, in the order given.
Short version: E_tot = -3.97; -10.94; -7.38; -2.81; -4.30; -4.07; -3.99; -4.94; -7.09; -3.38; -1.94; -7.74 eV per atom, in the order given.